# 1
First-principles (PBE) data for RbY3Te after structural relaxation, as listed in Alexandria via LeMat-Bulk.

Unit cell a=5.550 b=5.550 c=5.550 alpha=90.00 beta=90.00 gamma=90.00
Element x y z (fractional)
Rb 0.000 0.000 0.000
Y 0.000 0.000 0.500
Y 0.000 0.500 0.000
Y 0.500 0.000 0.000
Te 0.500 0.500 0.500

Electronic total energy: -17.64 eV per cell
Distance to the lowest polymorph of the same formula: 5.264 eV/f.u.
Space group: Pm-3m, No. 221

=====

# 2
First-principles (PBE) data for Rb2YTe6 after structural relaxation, as listed in Alexandria via LeMat-Bulk.

Unit cell a=10.457 b=10.457 c=6.123 alpha=99.25 beta=99.25 gamma=35.06
Element x y z (fractional)
Rb 0.185 0.185 0.211
Rb 0.815 0.815 0.789
Y 0.500 0.500 0.500
Te 0.133 0.602 0.317
Te 0.273 0.727 0.000
Te 0.398 0.867 0.683
Te 0.602 0.133 0.317
Te 0.727 0.273 0.000
Te 0.867 0.398 0.683

Electronic total energy: -33.33 eV per cell
Space group: C2/m, No. 12

=====

# 3
First-principles (PBE) data for RbYTe3 after structural relaxation, as listed in Alexandria via LeMat-Bulk.

Unit cell a=16.234 b=6.701 c=7.150 alpha=90.00 beta=90.00 gamma=90.00
Element x y z (fractional)
Rb 0.185 0.029 0.250
Rb 0.185 0.471 0.750
Rb 0.815 0.529 0.250
Rb 0.815 0.971 0.750
Y 0.418 0.750 0.000
Y 0.418 0.750 0.500
Y 0.582 0.250 0.000
Y 0.582 0.250 0.500
Te 0.004 0.750 0.000
Te 0.004 0.750 0.500
Te 0.295 0.545 0.250
Te 0.295 0.955 0.750
Te 0.433 0.115 0.250
Te 0.433 0.385 0.750
Te 0.567 0.615 0.250
Te 0.567 0.885 0.750
Te 0.705 0.045 0.250
Te 0.705 0.455 0.750
Te 0.996 0.250 0.000
Te 0.996 0.250 0.500

Electronic total energy: -86.63 eV per cell
Distance to the lowest polymorph of the same formula: 0.000 eV/f.u.
Space group: Pbcm, No. 57

=====

# 4
First-principles (PBE) data for RbYTe3 after structural relaxation, as listed in Alexandria via LeMat-Bulk.

Unit cell a=5.938 b=5.938 c=5.938 alpha=90.00 beta=90.00 gamma=90.00
Element x y z (fractional)
Rb 0.000 0.000 0.000
Y 0.500 0.500 0.500
Te 0.000 0.000 0.500
Te 0.000 0.500 0.000
Te 0.500 0.000 0.000

Electronic total energy: -13.99 eV per cell
Distance to the lowest polymorph of the same formula: 7.669 eV/f.u.
Space group: Pm-3m, No. 221

=====

Looking at energy relative to the elements, uncorrected for the records above, in order, we have 5.86; -6.08; -4.80; 2.87 eV/f.u..